{"formula": "GeIN2O", "functional": "PBEsol", "state": "optimized geometry", "lattice_angstrom": [[4.0906, 0.0000, 0.0000], [0.0000, 4.0906, 0.0000], [0.0000, 0.0000, 4.2875]], "species": ["Ge", "I", "N", "N", "O"], "fractional_positions": [[0.0000, 0.0000, 0.0000], [0.5000, 0.5000, 0.0000], [0.0000, 0.5000, 0.5000], [0.5000, 0.0000, 0.5000], [0.5000, 0.5000, 0.5000]], "e_tot_ev_per_atom": -3.798}

---

{"formula": "In2AuBr", "functional": "PBEsol", "state": "optimized geometry", "lattice_angstrom": [[5.2612, 0.0000, 0.0000], [0.0000, 5.2612, 0.0000], [0.0000, 0.0000, 3.3849]], "species": ["In", "In", "Au", "Br"], "fractional_positions": [[0.0000, 0.5000, 0.0000], [0.5000, 0.0000, 0.0000], [0.0000, 0.0000, 0.5000], [0.5000, 0.5000, 0.5000]], "de_polymorph_kj_per_mol_atoms": 0.0, "e_tot_ev_per_atom": -3.133}

---

Energy relative to the elements, uncorrected in eV per atom, matching the order above: 2.003 -0.193